First-principles (SCAN) data for a crystal of Zr2IrRu relaxed with PBEsol, as listed in the Alexandria database.

Output
Space-group type: P4/mmm (123)
Formation enthalpy at 0 K, eV/atom: -0.90
Mass density, g cm⁻³: 11.5
Magnetic moment, μB per formula unit: 0.00
E_tot, eV/f.u.: -170.935

abc: 3.292 3.292 6.333
angles: 90.00 90.00 90.00
Fractional coordinates of all 4 atoms:
1 Zr 0.000 0.000 0.250
2 Zr 0.000 0.000 0.750
3 Ir 0.500 0.500 0.000
4 Ru 0.500 0.500 0.500